Entry from Alexandria via LeMat-Bulk: an optimized crystal structure of K2Pb2W (PBE).

abc: 4.438 4.438 20.974
angles: 90.00 90.00 90.00
Space group I4/mmm (No. 139)
Symmetry-distinct sites (fractional):
K 0.000 0.000 0.098
Pb 0.000 0.500 0.250
W 0.000 0.000 0.500

Output
The excess energy over the best structure of this formula in the dataset comes out at 6 kJ/mol of formula units. The formation enthalpy at 0 K comes out at 121.08 kJ/mol of atoms.